Entry 1:
12
Lattice="6.6234 0.0000 0.0000 0.9874 6.8455 0.0000 2.0313 0.4933 8.9484" Properties=species:S:1:pos:R:3 comment="TbPr4Y7, relaxed, DFT PBE" polymorph_energy_ev_per_atom=0.000 sg="P-1 (2)" total_energy_ev_per_atom=-5.668 pbc="T T T"
Tb 0.0000 0.0000 0.0000
Pr 2.3268 4.3758 2.7309
Pr 4.0021 1.6040 6.4117
Pr 5.6400 5.7348 2.5367
Pr 7.3153 2.9630 6.2175
Y 0.4937 3.4227 0.0000
Y 2.0892 0.9274 3.3929
Y 4.1327 5.0416 5.7213
Y 3.5932 1.7198 0.4255
Y 6.0488 5.6190 8.5230
Y 5.5094 2.2972 3.2271
Y 7.5529 6.4114 5.5556

Entry 2:
19
Lattice="11.3149 -3.5972 0.0000 11.3149 3.5972 0.0000 -3.0876 0.0000 8.3022" Properties=species:S:1:pos:R:3 comment="Tb2Pr12Y5, relaxed, DFT PBE" polymorph_energy_ev_per_atom=0.000 sg="C2/m (12)" total_energy_ev_per_atom=-5.078 pbc="T T T"
Tb 11.3149 1.8511 0.0000
Tb 11.3149 -1.8511 0.0000
Pr 6.1494 1.8176 1.7169
Pr -1.0597 0.0000 5.7714
Pr 7.0180 1.8439 5.1072
Pr 12.5242 1.8439 3.1950
Pr 5.1873 0.0000 7.8241
Pr 13.3927 1.8176 6.5853
Pr 6.1494 -1.8176 1.7169
Pr 14.3548 0.0000 0.4781
Pr 7.0180 -1.8439 5.1072
Pr 12.5242 -1.8439 3.1950
Pr 20.6018 0.0000 2.5308
Pr 13.3927 -1.8176 6.5853
Y 3.0973 0.0000 0.8110
Y 4.1126 0.0000 4.2246
Y 9.7711 0.0000 4.1511
Y 15.4296 0.0000 4.0776
Y 16.4448 0.0000 7.4912

Entry 3:
9
Lattice="9.2475 0.0000 0.0000 -4.6237 8.0085 0.0000 0.0000 0.0000 3.6218" Properties=species:S:1:pos:R:3 comment="Tb3Pr3YZn2, relaxed, DFT PBE" sg="P-62m (189)" total_energy_ev_per_atom=-4.138 pbc="T T T"
Tb -1.7234 2.9850 0.0000
Tb 3.4468 0.0000 0.0000
Tb 2.9003 5.0235 0.0000
Pr -3.1595 5.4725 1.8109
Pr 1.4642 2.5361 1.8109
Pr 6.3190 0.0000 1.8109
Y 0.0000 0.0000 0.0000
Zn 0.0000 5.3390 1.8109
Zn 4.6237 2.6695 1.8109

Entry 4:
12
Lattice="3.0801 -5.3280 0.0000 3.0801 5.3280 0.0000 -2.0381 0.0000 11.6000" Properties=species:S:1:pos:R:3 comment="Tb6Pr2Y3Zr, relaxed, DFT PBE" sg="C2/m (12)" total_energy_ev_per_atom=-5.384 pbc="T T T"
Tb -0.0112 1.7366 8.6685
Tb 0.9846 0.0000 2.9365
Tb -0.0112 -1.7366 8.6685
Tb 4.1333 1.7366 2.9315
Tb 3.1375 0.0000 8.6636
Tb 4.1333 -1.7366 2.9315
Pr 2.0611 1.7771 5.8000
Pr 2.0611 -1.7771 5.8000
Y 3.0801 3.5571 0.0000
Y 3.0801 0.0000 0.0000
Y 3.0801 -3.5571 0.0000
Zr -1.0190 0.0000 5.8000

Entry 5:
12
Lattice="2.6029 -7.8471 0.0000 2.6029 7.8471 0.0000 0.0000 0.0000 7.3914" Properties=species:S:1:pos:R:3 comment="TbPr5Zn6, relaxed, DFT PBE" sg="Cmmm (65)" total_energy_ev_per_atom=-3.318 pbc="T T T"
Tb 0.0000 0.0000 0.0000
Pr 0.0000 0.0000 3.6957
Pr 2.6029 2.6420 3.6957
Pr 2.6029 2.6022 0.0000
Pr 2.6029 -2.6022 0.0000
Pr 2.6029 -2.6420 3.6957
Zn 2.6029 5.2906 1.8134
Zn 2.6029 5.2906 5.5780
Zn 2.6029 0.0000 1.7849
Zn 2.6029 0.0000 5.6066
Zn 2.6029 -5.2906 1.8134
Zn 2.6029 -5.2906 5.5780

Entry 6:
3
Lattice="5.0338 0.0000 0.0000 -2.5169 4.3594 0.0000 0.0000 0.0000 3.8058" Properties=species:S:1:pos:R:3 comment="TbPrZn, relaxed, DFT PBE" polymorph_energy_ev_per_atom=0.154 sg="P3m1 (156)" total_energy_ev_per_atom=-3.606 pbc="T T T"
Tb 0.0000 0.0000 0.0000
Pr 2.5169 1.4531 2.0908
Zn 0.0000 2.9063 0.7957

Entry 7:
80
Lattice="-8.8653 8.8653 8.8653 8.8653 -8.8653 8.8653 8.8653 8.8653 -8.8653" Properties=species:S:1:pos:R:3 comment="Tb12Pr3Zn5, relaxed, DFT PBE" sg="Ia-3d (230)" total_energy_ev_per_atom=-3.327 pbc="T T T"
Tb 2.5391 -0.5070 1.1729
Tb 10.7589 5.6055 -4.9397
Tb 8.3583 -1.1729 2.5391
Tb 13.8050 -1.8936 3.2598
Tb 11.4044 0.5070 1.1729
Tb 10.7589 -3.2598 4.9397
Tb 1.1729 2.5391 -0.5070
Tb 12.1251 3.9257 -1.8936
Tb 5.6055 4.9397 -1.8936
Tb 7.6924 2.5391 0.5070
Tb -0.5070 1.1729 2.5391
Tb 4.9397 -1.8936 5.6055
Tb 8.3583 7.6924 -2.5391
Tb 4.9397 1.8936 3.2598
Tb 7.6924 -2.5391 8.3583
Tb 5.6055 -4.9397 10.7589
Tb 3.2598 4.9397 1.8936
Tb 10.0382 6.3262 0.5070
Tb 2.5391 8.3583 -1.1729
Tb 10.7589 3.2598 3.9257
Tb 4.9397 10.7589 -3.2598
Tb 8.3583 1.1729 6.3262
Tb 1.8936 3.2598 4.9397
Tb 2.5391 0.5070 7.6924
Tb 6.3262 8.3583 1.1729
Tb 6.9717 5.6055 3.9257
Tb 0.5070 7.6924 2.5391
Tb 3.9257 -1.8936 12.1251
Tb -1.8936 5.6055 4.9397
Tb 6.3262 0.5070 10.0382
Tb -1.1729 2.5391 8.3583
Tb 5.6055 3.9257 6.9717
Tb 3.2598 13.8050 -1.8936
Tb 1.1729 11.4044 0.5070
Tb 3.9257 6.9717 5.6055
Tb 0.5070 1.1729 11.4044
Tb 3.9257 10.7589 3.2598
Tb 9.3723 7.6924 6.3262
Tb 1.1729 6.3262 8.3583
Tb 3.2598 3.9257 10.7589
Tb -3.2598 4.9397 10.7589
Tb 7.6924 6.3262 9.3723
Tb -1.8936 12.1251 3.9257
Tb -2.5391 8.3583 7.6924
Tb -4.9397 10.7589 5.6055
Tb 0.5070 10.0382 6.3262
Tb -1.8936 3.2598 13.8050
Tb 6.3262 9.3723 7.6924
Pr 4.4327 2.2163 0.0000
Pr 8.8653 4.4327 -2.2163
Pr 2.2163 0.0000 4.4327
Pr 11.0817 0.0000 4.4327
Pr 0.0000 4.4327 2.2163
Pr 4.4327 -2.2163 8.8653
Pr 4.4327 11.0817 0.0000
Pr 8.8653 4.4327 6.6490
Pr -2.2163 8.8653 4.4327
Pr 6.6490 8.8653 4.4327
Pr 0.0000 4.4327 11.0817
Pr 4.4327 6.6490 8.8653
Zn 0.0000 0.0000 0.0000
Zn 4.4327 4.4327 -4.4327
Zn 4.4327 -4.4327 4.4327
Zn 8.8653 0.0000 0.0000
Zn 13.2980 2.2163 0.0000
Zn 8.8653 -4.4327 6.6490
Zn 6.6490 8.8653 -4.4327
Zn 6.6490 0.0000 4.4327
Zn 4.4327 6.6490 0.0000
Zn 8.8653 4.4327 2.2163
Zn -4.4327 4.4327 4.4327
Zn 0.0000 8.8653 0.0000
Zn 0.0000 0.0000 8.8653
Zn 4.4327 4.4327 4.4327
Zn 0.0000 4.4327 6.6490
Zn 4.4327 2.2163 8.8653
Zn 2.2163 8.8653 4.4327
Zn 2.2163 0.0000 13.2980
Zn 0.0000 13.2980 2.2163
Zn -4.4327 6.6490 8.8653

Entry 8:
12
Lattice="2.7460 1.5854 8.6453 -2.7460 1.5854 8.6453 0.0000 -3.1708 8.6453" Properties=species:S:1:pos:R:3 comment="Tb2PrZn9, relaxed, DFT PBE" sg="R-3m (166)" total_energy_ev_per_atom=-2.444 pbc="T T T"
Tb 0.0000 0.0000 3.6527
Tb 0.0000 0.0000 22.2830
Pr 0.0000 0.0000 0.0000
Zn -1.3987 -0.8076 10.7985
Zn 0.0000 0.0000 8.6923
Zn 0.0000 -1.6151 15.1373
Zn -1.3987 0.8076 15.1373
Zn 0.0000 0.0000 12.9679
Zn 1.3987 -0.8076 10.7985
Zn 0.0000 1.6151 10.7985
Zn 0.0000 0.0000 17.2435
Zn 1.3987 0.8076 15.1373

Entry 9:
12
Lattice="4.5708 -6.9246 0.0000 4.5708 6.9246 0.0000 -2.0702 0.0000 6.1125" Properties=species:S:1:pos:R:3 comment="TbPr4Zn, relaxed, DFT PBE" polymorph_energy_ev_per_atom=0.093 sg="C2/c (15)" total_energy_ev_per_atom=-4.169 pbc="T T T"
Tb 3.0182 5.6391 4.5844
Tb 4.0533 -5.6391 1.5281
Pr 0.2098 1.5359 5.3514
Pr 2.6910 2.5241 2.7444
Pr 1.2448 -1.5359 2.2952
Pr 5.4156 2.5241 0.3118
Pr 1.6559 -2.5241 5.8007
Pr 5.8267 1.5359 3.8173
Pr 4.3805 -2.5241 3.3681
Pr 6.8618 -1.5359 0.7611
Zn 3.0182 0.0105 4.5844
Zn 4.0533 -0.0105 1.5281

Entry 10:
3
Lattice="-1.8321 1.8321 6.2071 1.8321 -1.8321 6.2071 1.8321 1.8321 -6.2071" Properties=species:S:1:pos:R:3 comment="TbPrZn, relaxed, DFT PBE" polymorph_energy_ev_per_atom=0.000 sg="I4mm (107)" total_energy_ev_per_atom=-3.760 pbc="T T T"
Tb 0.0000 0.0000 0.0000
Pr 0.0000 0.0000 8.8339
Zn 0.0000 0.0000 4.5651

Entry 11:
4
Lattice="3.6934 0.0000 0.0000 0.0000 3.6934 0.0000 0.0000 0.0000 8.8019" Properties=species:S:1:pos:R:3 comment="TbPr2Zn, relaxed, DFT PBE" polymorph_energy_ev_per_atom=0.018 sg="P4/mmm (123)" total_energy_ev_per_atom=-4.001 pbc="T T T"
Tb 0.0000 0.0000 0.0000
Pr 1.8467 1.8467 2.5373
Pr 1.8467 1.8467 6.2646
Zn 0.0000 0.0000 4.4010

Entry 12:
12
Lattice="5.6068 0.0000 0.0000 -2.8034 4.8557 0.0000 0.0000 0.0000 8.6865" Properties=species:S:1:pos:R:3 comment="Tb3PrZn8, relaxed, DFT PBE" sg="P3m1 (156)" total_energy_ev_per_atom=-2.718 pbc="T T T"
Tb 0.0000 0.0000 0.0000
Tb 0.0000 0.0000 3.3627
Tb 0.0000 3.2371 7.6890
Pr 0.0000 3.2371 4.2913
Zn 1.3912 0.8032 6.0309
Zn 2.8034 0.0111 1.6218
Zn 1.4113 2.4223 1.6218
Zn 2.8034 1.6186 3.8458
Zn 2.8034 1.6186 8.1589
Zn 4.2156 0.8032 6.0309
Zn 2.8034 3.2492 6.0309
Zn 4.1955 2.4223 1.6218

So what do the calculations give for ΔE_f? Going down the list: 0.082, 0.129, 0.000, 0.056, -0.303, -0.045, 0.486, -0.318, 0.002, -0.199, -0.135, -0.313 eV per atom.